Entry 1:
Below is a relaxed structure of MnReOs2, with properties calculated at the PBE level.

Summary:
SG = No. 160
VASP energy = -42.454 eV for the cell shown

extended XYZ file:
```
4
Lattice="-2.863 -2.448 -1.689 1.120 -2.969 -2.641 -0.192 -4.343 1.574" Properties=species:S:1:pos:R:3 pbc="T T T"
Mn -1.399 -7.657 -1.665
Re -0.958 -4.939 -1.307
Os -0.240 -4.030 1.202
Os -0.496 -2.356 -0.789
```



Entry 2:
Below is a relaxed structure of MnRe2Os, with properties calculated at the PBE level.

Summary:
SG = No. 99
VASP energy = -44.945 eV for the cell shown

extended XYZ file:
```
4
Lattice="2.718 0.000 0.000 0.000 2.718 0.000 0.000 0.000 7.545" Properties=species:S:1:pos:R:3 pbc="T T T"
Mn 0.000 0.000 3.783
Os 1.359 1.359 5.562
Re 0.000 0.000 7.498
Re 1.359 1.359 2.021
```



Entry 3:
Below is a relaxed structure of MnRe2Os, with properties calculated at the PBE level.

Summary:
SG = No. 25
VASP energy = -44.967 eV for the cell shown

extended XYZ file:
```
4
Lattice="-2.050 1.058 1.443 -2.413 -2.468 -1.617 0.969 -3.558 3.985" Properties=species:S:1:pos:R:3 pbc="T T T"
Mn 0.485 -1.783 1.997
Os -1.514 -3.338 2.863
Re 0.964 -3.542 3.967
Re -1.976 -1.641 0.961
```



Entry 4:
Below is a relaxed structure of MnReOs2, with properties calculated at the PBE level.

Summary:
SG = No. 119
VASP energy = -43.814 eV for the cell shown

extended XYZ file:
```
4
Lattice="4.677 0.000 0.000 1.569 4.406 0.000 -3.123 -2.203 2.696" Properties=species:S:1:pos:R:3 pbc="T T T"
Mn 2.339 0.000 1.348
Os 0.000 0.000 0.000
Os 0.784 2.203 1.348
Re 3.123 2.203 0.000
```



Entry 5:
Below is a relaxed structure of MnRe3Os, with properties calculated at the PBE level.

Summary:
SG = No. 221
VASP energy = -49.378 eV for the cell shown

extended XYZ file:
```
5
Lattice="-0.763 -3.587 2.343 4.237 -0.983 -0.125 0.633 2.259 3.665" Properties=species:S:1:pos:R:3 pbc="T T T"
Re 2.119 -0.492 -0.063
Re 0.316 1.130 1.833
Re -0.382 -1.794 1.172
Mn 0.000 0.000 0.000
Os 2.054 -1.155 2.941
```



Entry 6:
Below is a relaxed structure of MnRe2Os, with properties calculated at the PBE level.

Summary:
SG = No. 44
VASP energy = -44.393 eV for the cell shown

extended XYZ file:
```
4
Lattice="5.158 0.002 0.000 2.450 4.539 0.000 -3.278 -3.151 2.434" Properties=species:S:1:pos:R:3 pbc="T T T"
Mn 3.818 2.278 0.000
Os 1.631 1.914 1.217
Re 7.592 4.531 0.000
Re 2.702 -0.523 1.217
```



Entry 7:
Below is a relaxed structure of MnRe2Os, with properties calculated at the PBE level.

Summary:
SG = No. 12
VASP energy = -44.949 eV for the cell shown

extended XYZ file:
```
4
Lattice="4.707 0.003 -0.008 3.914 2.614 -0.008 0.765 0.232 4.602" Properties=species:S:1:pos:R:3 pbc="T T T"
Mn 7.039 2.137 3.440
Os 2.346 0.712 1.147
Re 9.364 2.842 4.584
Re 4.715 1.431 2.295
```



Entry 8:
Below is a relaxed structure of MnRe4Os, with properties calculated at the PBE level.

Summary:
SG = No. 216
VASP energy = -67.210 eV for the cell shown

extended XYZ file:
```
6
Lattice="-3.539 -3.467 1.250 -0.890 -1.085 4.913 -4.369 1.485 2.193" Properties=species:S:1:pos:R:3 pbc="T T T"
Mn -6.599 -2.300 6.267
Re -5.064 -2.874 3.762
Re -5.476 -0.416 4.230
Re -3.749 -1.692 5.580
Re -3.307 -1.153 3.141
Os 0.000 0.000 0.000
```



Result set for calculated formation energy: 0.4057, 0.0877, 0.0821, 0.0659, 1.6732, 0.2255, 0.0865, 0.4970 eV per atom, one per record in the order listed.
Result set for total moment: 0.694, 0.871, 1.457, 1.171, 0.000, 2.431, 1.481, 2.608 Bohr magnetons per cell, one per record in the order listed.